a) CeIrI | PBE | optimized geometry

Lattice parameters (Å, degrees): 4.354 4.352 11.940 89.00 90.00 120.02
Each line ends with the local moment (μB).
Fractional positions:
Ce 0.495 0.990 0.157  0.85
Ce 0.505 0.010 0.843  0.85
Ir 0.167 0.333 0.003  -0.07
Ir 0.833 0.667 0.997  -0.07
I 0.823 0.645 0.337  -0.01
I 0.177 0.355 0.663  -0.01

Results
As for the crystal system: monoclinic. The volume is 32.64 A^3/atom.

=====

b) CeIrI | PBE | optimized geometry

Lattice parameters (Å, degrees): 4.161 4.162 13.322 90.23 71.91 60.31
Each line ends with the local moment (μB).
Fractional positions:
Ir 0.939 0.626 0.658  -0.05
Ir 0.467 0.356 0.760  -0.08
Ce 0.411 0.888 0.553  0.15
Ce 0.620 0.763 0.888  0.23
I 0.979 0.103 0.376  -0.01
I 0.721 0.215 0.064  -0.01

Results
As for the crystal system: triclinic. The volume is 31.17 A^3/atom.

=====

Relative energy of each structure, in meV per atom: a) 0; b) 159.

=====

a) Ce2IrI | PBE | optimized geometry

Lattice parameters (Å, degrees): 4.171 4.171 8.321 75.49 75.49 60.00
Each line ends with the local moment (μB).
Fractional positions:
I 0.500 0.500 0.500  -0.01
Ir 0.000 0.000 0.000  -0.06
Ce 0.272 0.272 0.185  0.79
Ce 0.728 0.728 0.815  0.79

Results
As for the crystal system: trigonal. The volume is 30.00 A^3/atom.

=====

b) Ce2IrI | PBE | optimized geometry

Lattice parameters (Å, degrees): 4.046 4.045 15.152 90.00 89.99 90.00
Each line ends with the local moment (μB).
Fractional positions:
Ce 0.701 0.477 0.197  0.36
Ce 0.700 0.491 0.826  1.16
Ce 0.202 0.991 0.390  1.16
Ce 0.201 0.977 0.019  0.36
Ir 0.201 0.975 0.210  -0.06
Ir 0.701 0.475 0.006  -0.06
I 0.200 0.990 0.719  0.00
I 0.702 0.490 0.497  0.00

Results
As for the crystal system: orthorhombic. The volume is 30.99 A^3/atom.

=====

c) Ce2IrI | PBE | optimized geometry

Lattice parameters (Å, degrees): 4.138 4.138 8.445 75.82 75.82 60.00
Each line ends with the local moment (μB).
Fractional positions:
Ce 0.062 0.062 0.814  0.77
Ce 0.272 0.272 0.185  0.81
Ir 0.667 0.667 0.998  -0.06
I 0.499 0.499 0.504  -0.01

Results
As for the crystal system: trigonal. The volume is 30.03 A^3/atom.

=====

Relative energy of each structure, in meV per atom: a) 0; b) 141; c) 19.

=====

a) K2CeI4 | PBE | optimized geometry

Lattice parameters (Å, degrees): 6.292 6.292 9.992 108.35 108.35 90.00
Each line ends with the local moment (μB).
Fractional positions:
I 0.822 0.822 0.644  0.00
I 0.178 0.178 0.356  0.00
I 0.000 0.500 0.000  -0.01
I 0.500 0.000 0.000  -0.01
K 0.630 0.630 0.261  0.00
K 0.370 0.370 0.739  0.00
Ce 0.000 0.000 0.000  1.30

Results
As for the crystal system: tetragonal. The volume is 50.59 A^3/atom.

=====

b) K2CeI4 | PBE | optimized geometry

Lattice parameters (Å, degrees): 4.404 9.270 10.047 123.98 90.00 90.00
Each line ends with the local moment (μB).
Fractional positions:
I 0.500 0.768 0.774  -0.01
I 0.000 0.179 0.743  0.00
I 0.500 0.375 0.226  -0.01
I 0.000 0.964 0.257  0.00
K 0.500 0.833 0.455  0.00
K 0.500 0.310 0.545  0.00
Ce 0.000 0.071 0.000  1.46

Results
As for the crystal system: monoclinic. The volume is 48.59 A^3/atom.

=====

Relative energy of each structure, in meV per atom: a) 48; b) 0.

=====

a) KCeI3 | PBE | optimized geometry

Lattice parameters (Å, degrees): 4.420 8.600 12.518 74.30 90.00 75.11
Each line ends with the local moment (μB).
Fractional positions:
K 0.789 0.990 0.157  0.00
K 0.899 0.771 0.902  0.00
Ce 0.106 0.357 0.663  1.40
Ce 0.582 0.404 0.396  1.40
I 0.192 0.184 0.307  0.00
I 0.459 0.650 0.143  0.00
I 0.229 0.111 0.916  0.00
I 0.737 0.095 0.620  -0.01
I 0.496 0.577 0.752  0.00
I 0.952 0.665 0.439  -0.01

Results
As for the crystal system: monoclinic. The volume is 44.14 A^3/atom.

=====

b) KCeI3 | PBE | optimized geometry

Lattice parameters (Å, degrees): 6.315 6.315 6.315 90.00 90.00 90.00
Each line ends with the local moment (μB).
Fractional positions:
I 0.000 0.500 0.000  -0.01
I 0.000 0.000 0.500  -0.01
I 0.500 0.000 0.000  -0.01
K 0.500 0.500 0.500  0.00
Ce 0.000 0.000 0.000  1.44

Results
As for the crystal system: cubic. The volume is 50.36 A^3/atom.

=====

Relative energy of each structure, in meV per atom: a) 0; b) 142.

=====

a) K3CeI6 | PBE | optimized geometry

Lattice parameters (Å, degrees): 8.435 9.172 12.402 90.00 89.13 90.00
Each line ends with the local moment (μB).
Fractional positions:
K 0.539 0.907 0.754  0.00
K 0.500 0.500 0.000  0.00
K 0.461 0.093 0.246  0.00
K 0.039 0.593 0.254  0.00
K 0.000 0.000 0.500  0.00
K 0.961 0.407 0.746  0.00
Ce 0.500 0.500 0.500  0.99
Ce 0.000 0.000 0.000  0.99
I 0.697 0.176 0.935  -0.01
I 0.663 0.208 0.576  -0.01
I 0.642 0.446 0.266  -0.01
I 0.358 0.554 0.734  -0.01
I 0.337 0.792 0.424  -0.01
I 0.303 0.824 0.065  -0.01
I 0.197 0.324 0.435  -0.01
I 0.163 0.292 0.076  -0.01
I 0.142 0.054 0.766  -0.01
I 0.858 0.946 0.234  -0.01
I 0.837 0.708 0.924  -0.01
I 0.803 0.676 0.565  -0.01

Results
As for the crystal system: monoclinic. The volume is 47.96 A^3/atom.

=====

b) K3CeI6 | PBE | optimized geometry

Lattice parameters (Å, degrees): 9.152 9.152 9.152 60.00 60.00 60.00
Each line ends with the local moment (μB).
Fractional positions:
K 0.750 0.750 0.750  0.00
K 0.250 0.250 0.250  0.00
K 0.500 0.500 0.500  0.00
Ce 0.000 0.000 0.000  0.99
I 0.759 0.241 0.241  -0.01
I 0.241 0.241 0.759  -0.01
I 0.241 0.759 0.759  -0.01
I 0.241 0.759 0.241  -0.01
I 0.759 0.241 0.759  -0.01
I 0.759 0.759 0.241  -0.01

Results
As for the crystal system: cubic. The volume is 54.20 A^3/atom.

=====

Relative energy of each structure, in meV per atom: a) 0; b) 97.

=====

a) K2LiCeI6 | PBE | optimized geometry

Lattice parameters (Å, degrees): 8.579 8.579 8.579 60.00 60.00 60.00
Each line ends with the local moment (μB).
Fractional positions:
K 0.750 0.750 0.750  0.00
K 0.250 0.250 0.250  0.00
Li 0.500 0.500 0.500  0.00
Ce 0.000 0.000 0.000  0.99
I 0.744 0.256 0.256  -0.01
I 0.256 0.256 0.744  -0.01
I 0.256 0.744 0.744  -0.01
I 0.256 0.744 0.256  -0.01
I 0.744 0.256 0.744  -0.01
I 0.744 0.744 0.256  -0.01

Results
As for the crystal system: cubic. The volume is 44.65 A^3/atom.

=====

b) K2LiCeI6 | PBE | optimized geometry

Lattice parameters (Å, degrees): 8.189 8.660 11.816 90.00 89.44 90.00
Each line ends with the local moment (μB).
Fractional positions:
K 0.030 0.916 0.254  0.00
K 0.530 0.584 0.754  0.00
K 0.970 0.084 0.746  0.00
K 0.470 0.416 0.246  0.00
Li 0.500 0.000 0.000  0.00
Li 0.000 0.500 0.500  0.00
Ce 0.500 0.000 0.500  0.99
Ce 0.000 0.500 0.000  0.99
I 0.312 0.699 0.054  -0.01
I 0.812 0.801 0.554  -0.01
I 0.688 0.301 0.946  -0.01
I 0.188 0.199 0.446  -0.01
I 0.306 0.693 0.448  -0.01
I 0.806 0.807 0.948  -0.01
I 0.694 0.307 0.552  -0.01
I 0.194 0.193 0.052  -0.01
I 0.893 0.523 0.256  -0.01
I 0.393 0.977 0.756  -0.01
I 0.107 0.477 0.744  -0.01
I 0.607 0.023 0.244  -0.01

Results
As for the crystal system: monoclinic. The volume is 41.90 A^3/atom.

=====

Relative energy of each structure, in meV per atom: a) 53; b) 0.

=====

a) K2RbCeI6 | PBE | optimized geometry

Lattice parameters (Å, degrees): 9.319 9.319 9.319 60.00 60.00 60.00
Each line ends with the local moment (μB).
Fractional positions:
K 0.750 0.750 0.750  0.00
K 0.250 0.250 0.250  0.00
Rb 0.500 0.500 0.500  0.00
Ce 0.000 0.000 0.000  0.99
I 0.237 0.763 0.237  -0.01
I 0.763 0.237 0.237  -0.01
I 0.763 0.237 0.763  -0.01
I 0.237 0.237 0.763  -0.01
I 0.763 0.763 0.237  -0.01
I 0.237 0.763 0.763  -0.01

Results
As for the crystal system: cubic. The volume is 57.22 A^3/atom.

=====

b) K2RbCeI6 | PBE | optimized geometry

Lattice parameters (Å, degrees): 8.838 8.838 9.319 61.69 61.69 60.00
Each line ends with the local moment (μB).
Fractional positions:
K 0.525 0.525 0.426  0.00
K 0.013 0.013 0.961  0.00
Rb 0.815 0.815 0.556  0.00
Ce 0.325 0.325 0.025  0.99
I 0.568 0.220 0.244  -0.01
I 0.220 0.968 0.244  -0.01
I 0.968 0.568 0.244  -0.01
I 0.408 0.691 0.772  -0.01
I 0.691 0.130 0.772  -0.01
I 0.130 0.408 0.772  -0.01

Results
As for the crystal system: trigonal. The volume is 52.75 A^3/atom.

=====

Relative energy of each structure, in meV per atom: a) 110; b) 0.

=====

a) La2CeI | PBE | optimized geometry

Lattice parameters (Å, degrees): 3.661 3.661 12.088 81.29 81.29 60.00
Each line ends with the local moment (μB).
Fractional positions:
I 0.500 0.500 0.500  0.00
Ce 0.000 0.000 0.000  1.07
La 0.094 0.094 0.719  -0.02
La 0.906 0.906 0.281  -0.02

Results
As for the crystal system: trigonal. The volume is 34.53 A^3/atom.

=====

b) La2CeI | PBE | optimized geometry

Lattice parameters (Å, degrees): 3.850 3.850 11.186 80.09 80.09 59.99
Each line ends with the local moment (μB).
Fractional positions:
La 0.079 0.079 0.763  0.06
La 0.255 0.255 0.237  0.04
Ce 0.500 0.500 0.499  0.99
I 0.667 0.667 0.001  0.00

Results
As for the crystal system: trigonal. The volume is 35.18 A^3/atom.

=====

Relative energy of each structure, in meV per atom: a) 194; b) 0.